MnCu2: relaxed, PBE.

Structure (POSCAR):
```
MnCu2
1.0
2.574 0.000 0.000
-1.287 2.229 0.000
0.000 0.000 6.376
Cu Mn
2 1
direct
0.333 0.667 0.668
0.000 0.000 0.999
0.667 0.333 0.333
```

As for the space-group type: P-3m1. The calculation puts the total energy at -5.617 eV per atom. The value obtained for the formation energy is 0.1702 eV per atom. The value obtained for the density is 8.26 g/cm³.

MnCu2: relaxed, PBE.

Structure (POSCAR):
```
MnCu2
1.0
5.242 0.000 0.000
0.000 3.743 0.000
0.000 0.000 7.807
Cu Mn
8 4
direct
0.109 0.250 0.249
0.362 0.750 0.082
0.891 0.750 0.751
0.138 0.250 0.582
0.609 0.250 0.251
0.862 0.750 0.418
0.638 0.250 0.918
0.391 0.750 0.749
0.143 0.250 0.912
0.857 0.750 0.088
0.357 0.750 0.412
0.643 0.250 0.588
```

As for the space-group type: Pnma. The calculation puts the total energy at -5.651 eV per atom. The value obtained for the formation energy is 0.1364 eV per atom. The value obtained for the density is 7.89 g/cm³.

Mn3Cu: relaxed, PBE.

Structure (POSCAR):
```
Mn3Cu
1.0
-0.626 0.952 -4.312
1.873 -3.886 -1.130
-3.999 -1.969 0.145
Cu Mn
2 6
direct
0.500 0.500 0.500
0.000 0.000 0.000
0.250 0.500 0.000
0.000 0.250 0.500
0.750 0.500 0.000
0.500 0.000 0.750
0.000 0.750 0.500
0.500 0.000 0.250
```

As for the space-group type: Pm-3n. The calculation puts the total energy at -7.649 eV per atom. The value obtained for the formation energy is 0.2517 eV per atom. The value obtained for the density is 8.55 g/cm³.

MnCu2: relaxed, PBE.

Structure (POSCAR):
```
MnCu2
1.0
-1.497 3.814 -5.351
-0.983 -4.709 4.721
-1.708 2.928 2.565
Mn Cu
2 4
direct
0.895 0.105 0.250
0.105 0.895 0.750
0.559 0.441 0.250
0.224 0.776 0.250
0.776 0.224 0.750
0.441 0.559 0.750
```

As for the space-group type: Cmcm. The calculation puts the total energy at -5.665 eV per atom. The value obtained for the formation energy is 0.1225 eV per atom. The value obtained for the density is 7.95 g/cm³.

MnCu3: relaxed, PBE.

Structure (POSCAR):
```
MnCu3
1.0
2.566 0.000 0.000
-1.283 2.222 0.000
0.000 0.000 8.515
Cu Mn
3 1
direct
0.333 0.667 0.250
0.000 0.000 0.002
0.000 0.000 0.498
0.333 0.667 0.750
```

As for the space-group type: P-6m2. The calculation puts the total energy at -5.229 eV per atom. The value obtained for the formation energy is 0.1357 eV per atom. The value obtained for the density is 8.40 g/cm³.

Mn5Cu: relaxed, PBE.

Structure (POSCAR):
```
Mn5Cu
1.0
1.250 -6.537 0.000
1.250 6.537 0.000
0.000 0.000 4.040
Mn Cu
5 1
direct
0.329 0.671 0.000
0.886 0.114 0.500
0.668 0.332 0.000
0.224 0.776 0.500
0.560 0.440 0.500
0.999 0.001 0.000
```

As for the space-group type: Amm2. The calculation puts the total energy at -8.178 eV per atom. The value obtained for the formation energy is 0.1459 eV per atom. The value obtained for the density is 8.50 g/cm³. The energy above the most stable polymorph in this dataset is 0.00 eV per formula unit.

Mn3Cu: relaxed, PBE.

Structure (POSCAR):
```
Mn3Cu
1.0
-2.150 -0.037 1.025
-0.452 -4.648 0.727
0.873 2.705 3.775
Cu Mn
1 3
direct
0.000 0.000 0.000
0.000 0.500 0.500
0.500 0.500 0.000
0.500 0.000 0.500
```

As for the space-group type: R-3m. The calculation puts the total energy at -7.589 eV per atom. The value obtained for the formation energy is 0.3119 eV per atom. The value obtained for the density is 8.47 g/cm³.

Mn2Cu: relaxed, PBE.

Structure (POSCAR):
```
Mn2Cu
1.0
0.000 3.291 3.291
3.291 0.000 3.291
3.291 3.291 0.000
Mn Cu
4 2
direct
0.125 0.625 0.625
0.625 0.625 0.125
0.625 0.625 0.625
0.625 0.125 0.625
0.000 0.000 0.000
0.250 0.250 0.250
```

As for the space-group type: Fd-3m. The calculation puts the total energy at -7.062 eV per atom. The value obtained for the formation energy is 0.4167 eV per atom. The value obtained for the density is 8.08 g/cm³.